(1)
An optimized crystal structure of AcLuGaAu, computed with PBE-GGA. Values from VASP.

Geometry as Quantum ESPRESSO input:
```
&SYSTEM
  ibrav = 0, nat = 4, ntyp = 4
/
ATOMIC_SPECIES
Lu 174.97 Lu.upf
Ga 69.72 Ga.upf
Au 196.97 Au.upf
Ac 227.00 Ac.upf
ATOMIC_POSITIONS crystal
Lu 0.750 0.750 0.750
Ga 0.000 0.000 0.000
Au 0.500 0.500 0.500
Ac 0.250 0.250 0.250
CELL_PARAMETERS angstrom
-4.378 2.714 -1.291
-3.926 -2.399 -2.651
-4.595 -1.056 2.443
```

Computed properties:
As for the crystal system: cubic. The calculation puts the density of states at the Fermi level at 2.30 states/eV/f.u. The symmetry is F-43m. For the formation energy, the calculation gives -0.581 eV per atom.

(2)
An optimized crystal structure of Ac2MgGaAu6, computed with PBE-GGA. Values from VASP.

Geometry as Quantum ESPRESSO input:
```
&SYSTEM
  ibrav = 0, nat = 10, ntyp = 4
/
ATOMIC_SPECIES
Ac 227.00 Ac.upf
Au 196.97 Au.upf
Mg 24.30 Mg.upf
Ga 69.72 Ga.upf
ATOMIC_POSITIONS crystal
Ac 0.790 0.254 0.462
Au 0.758 0.759 0.496
Au 0.604 0.749 0.144
Au 0.242 0.745 0.001
Ac 0.210 0.746 0.538
Mg 0.500 0.500 0.000
Au 0.396 0.251 0.856
Ga 0.000 0.000 0.000
Au 0.758 0.255 0.999
Au 0.242 0.241 0.504
CELL_PARAMETERS angstrom
-5.011 4.813 -1.213
-1.429 -1.075 6.984
0.591 4.221 5.818
```

Computed properties:
As for the crystal system: triclinic. The calculation puts the density of states at the Fermi level at 4.51 states/eV/f.u. The symmetry is P-1. For the formation energy, the calculation gives -0.568 eV per atom.

(3)
An optimized crystal structure of Ac2MgGa3Au4, computed with PBE-GGA. Values from VASP.

Geometry as Quantum ESPRESSO input:
```
&SYSTEM
  ibrav = 0, nat = 10, ntyp = 4
/
ATOMIC_SPECIES
Ac 227.00 Ac.upf
Ga 69.72 Ga.upf
Mg 24.30 Mg.upf
Au 196.97 Au.upf
ATOMIC_POSITIONS crystal
Ac 0.500 0.000 0.240
Ga 0.000 0.000 0.500
Mg 0.500 0.500 0.500
Ga 0.500 0.000 0.873
Au 0.000 0.500 0.368
Ga 0.000 0.500 0.127
Au 0.500 0.000 0.632
Au 0.500 0.500 0.000
Ac 0.000 0.500 0.760
Au 0.000 0.000 0.000
CELL_PARAMETERS angstrom
4.614 0.000 0.000
0.000 4.614 0.000
0.000 0.000 10.692
```

Computed properties:
As for the crystal system: tetragonal. The calculation puts the density of states at the Fermi level at 5.56 states/eV/f.u. The symmetry is P-4m2. For the formation energy, the calculation gives -0.678 eV per atom.

(4)
An optimized crystal structure of AcMgGaAu6, computed with PBE-GGA. Values from VASP.

Geometry as Quantum ESPRESSO input:
```
&SYSTEM
  ibrav = 0, nat = 18, ntyp = 4
/
ATOMIC_SPECIES
Au 196.97 Au.upf
Mg 24.30 Mg.upf
Ga 69.72 Ga.upf
Ac 227.00 Ac.upf
ATOMIC_POSITIONS crystal
Au 0.959 0.209 0.918
Au 0.323 0.620 0.254
Mg 0.500 0.000 0.500
Au 0.069 0.380 0.746
Au 0.069 0.866 0.746
Au 0.424 0.174 0.849
Au 0.931 0.134 0.254
Au 0.323 0.134 0.254
Ga 0.500 0.500 0.000
Au 0.931 0.620 0.254
Au 0.576 0.826 0.151
Ac 0.722 0.472 0.445
Ac 0.278 0.528 0.555
Ga 0.500 0.000 0.000
Au 0.041 0.791 0.082
Au 0.677 0.380 0.746
Au 0.677 0.866 0.746
Mg 0.000 0.000 0.500
CELL_PARAMETERS angstrom
-6.220 -3.918 -2.103
4.203 -2.231 -8.275
3.072 -1.415 7.448
```

Computed properties:
As for the crystal system: orthorhombic. The calculation puts the density of states at the Fermi level at 3.36 states/eV/f.u. The symmetry is Imma. For the formation energy, the calculation gives -0.356 eV per atom.